Below is an optimized crystal structure of Dy2Y2Tm2LuNi2Te2, with properties calculated at the PBE level.

Cell lengths 9.3131, 9.3131, 9.3131 Å; angles 156.26, 66.93, 118.45 degrees
Atoms (fractional coordinates):
Y: 0.7635 0.8950 0.8685
Lu: 0.4772 0.4772 0.0000
Dy: 0.1000 0.7466 0.3534
Tm: 0.7807 0.0963 0.6845
Tm: 0.4118 0.0963 0.3155
Ni: 0.6434 0.4056 0.2378
Te: 0.1418 0.1418 0.0000
Ni: 0.1678 0.4056 0.7622
Dy: 0.3932 0.7466 0.6466
Te: 0.7403 0.2403 0.5000
Y: 0.0265 0.8950 0.1315

Output
Relative energy among the computed polymorphs ... 1.6 meV per atom
SG ... Imm2
Crystal system ... orthorhombic